1.
Computed, not measured: an optimized crystal structure of PuBe2TlO8 at the PBE level of DFT.

- crystal system = trigonal
- formation energy without anion corrections (meV per atom) = -1406

a = 5.3696 Å, b = 5.3696 Å, c = 6.3357 Å
α = 90.00°, β = 90.00°, γ = 120.00°
Space group P-3m1 (No. 164)
One atom of each set of equivalent atoms:
1 Pu 0.0000 0.0000 0.0000 (multiplicity 1)
2 Be 0.3333 0.6667 0.7202 (multiplicity 2)
3 Tl 0.0000 0.0000 0.5000 (multiplicity 1)
4 O 0.1670 0.3340 0.7990 (multiplicity 6)
5 O 0.3333 0.6667 0.4705 (multiplicity 2)

---

2.
Computed, not measured: an optimized crystal structure of PrSmDy2P4 at the PBE level of DFT.

- energy of formation from the pure elements (eV/atom) = -1.561
- crystal system = tetragonal

a = 5.774 Å, b = 5.774 Å, c = 11.557 Å
α = 90.00°, β = 90.00°, γ = 90.00°
Space group I4/mmm (No. 139)
One atom of each set of equivalent atoms:
1 Pr 0.000 0.000 0.000 (multiplicity 2)
2 Sm 0.000 0.000 0.500 (multiplicity 2)
3 Dy 0.000 0.500 0.250 (multiplicity 4)
4 P 0.000 0.000 0.252 (multiplicity 4)
5 P 0.000 0.500 0.000 (multiplicity 4)

---

3.
Computed, not measured: an optimized crystal structure of SmAlHg6 at the PBE level of DFT.

- energy of formation from the pure elements (eV/atom) = 0.193
- crystal system = trigonal

a = 6.1524 Å, b = 6.1524 Å, c = 24.1012 Å
α = 90.00°, β = 90.00°, γ = 120.00°
Space group R-3m (No. 166, hexagonal axes)
One atom of each set of equivalent atoms:
1 Sm 0.0000 0.0000 0.0000 (multiplicity 3)
2 Al 0.0000 0.0000 0.5000 (multiplicity 3)
3 Hg 0.0084 0.5042 0.4369 (multiplicity 18)

---

4.
Computed, not measured: an optimized crystal structure of Dy2ErTh at the PBE level of DFT.

- energy of formation from the pure elements (eV/atom) = 0.030
- crystal system = tetragonal
- distance to the lowest polymorph of the same formula (kJ/mol of atoms) = 0.4

a = 3.547 Å, b = 3.547 Å, c = 10.048 Å
α = 90.00°, β = 90.00°, γ = 90.00°
Space group P4/mmm (No. 123)
One atom of each set of equivalent atoms:
1 Dy 0.000 0.000 0.246 (multiplicity 2)
2 Er 0.500 0.500 0.500 (multiplicity 1)
3 Th 0.500 0.500 0.000 (multiplicity 1)